Record 1
CoBiTe2I after structural relaxation, computed with PBE. Values from VASP.

The structure in Quantum ESPRESSO input format:
```
&SYSTEM
  ibrav = 0, nat = 5, ntyp = 4
/
ATOMIC_SPECIES
Co 58.93 Co.upf
Bi 208.98 Bi.upf
Te 127.60 Te.upf
I 126.90 I.upf
ATOMIC_POSITIONS crystal
Co 0.000 0.000 0.000
Bi 0.500 0.500 0.500
Te 0.000 0.500 0.500
Te 0.500 0.000 0.500
I 0.500 0.500 0.000
CELL_PARAMETERS angstrom
5.990 0.000 0.000
0.000 5.990 0.000
0.000 0.000 5.971
```

## Properties
Energy relative to the elements, uncorrected   101.1 kJ/mol of atoms
Energy above the most stable polymorph in this dataset   0.7735 eV per atom
Calculated volume   42.84 A^3/atom
Total DFT energy (no corrections)   -2.72 eV per atom
Symmetry   P4/mmm



Record 2
Cs2YI after structural relaxation, computed with PBE. Values from VASP.

The structure in Quantum ESPRESSO input format:
```
&SYSTEM
  ibrav = 0, nat = 8, ntyp = 3
/
ATOMIC_SPECIES
Cs 132.91 Cs.upf
Y 88.91 Y.upf
I 126.90 I.upf
ATOMIC_POSITIONS crystal
Cs 0.375 0.242 0.367
Cs 0.758 0.125 0.133
Cs 0.875 0.008 0.633
Cs 0.992 0.625 0.867
Y 0.250 0.750 0.500
Y 0.500 0.500 0.000
I 0.000 0.000 0.000
I 0.750 0.250 0.500
CELL_PARAMETERS angstrom
-6.847 6.847 3.018
6.847 -6.847 3.018
6.847 6.847 -3.018
```

## Properties
Energy relative to the elements, uncorrected   -1.5 kJ/mol of atoms
Energy above the most stable polymorph in this dataset   0.0000 eV per atom
Calculated volume   70.75 A^3/atom
Total DFT energy (no corrections)   -2.45 eV per atom
Symmetry   I-42d



Record 3
Mn2CrNi after structural relaxation, computed with PBE. Values from VASP.

The structure in Quantum ESPRESSO input format:
```
&SYSTEM
  ibrav = 0, nat = 4, ntyp = 3
/
ATOMIC_SPECIES
Mn 54.94 Mn.upf
Cr 52.00 Cr.upf
Ni 58.69 Ni.upf
ATOMIC_POSITIONS crystal
Mn 0.250 0.250 0.250
Mn 0.750 0.750 0.750
Cr 0.000 0.000 0.000
Ni 0.500 0.500 0.500
CELL_PARAMETERS angstrom
1.242 0.717 8.251
-1.242 0.717 8.251
0.000 -1.434 8.251
```

## Properties
Calculated volume   11.02 A^3/atom
Total DFT energy (no corrections)   -8.28 eV per atom
Symmetry   R-3m



Record 4
RbCa2AlO after structural relaxation, computed with PBE. Values from VASP.

The structure in Quantum ESPRESSO input format:
```
&SYSTEM
  ibrav = 0, nat = 5, ntyp = 4
/
ATOMIC_SPECIES
Rb 85.47 Rb.upf
Ca 40.08 Ca.upf
Al 26.98 Al.upf
O 16.00 O.upf
ATOMIC_POSITIONS crystal
Rb 0.000 0.000 0.000
Ca 0.000 0.500 0.500
Ca 0.500 0.000 0.500
Al 0.500 0.500 0.000
O 0.500 0.500 0.500
CELL_PARAMETERS angstrom
4.844 0.000 0.000
0.000 4.844 0.000
0.000 0.000 6.493
```

## Properties
Energy relative to the elements, uncorrected   -51.4 kJ/mol of atoms
Calculated volume   30.47 A^3/atom
Total DFT energy (no corrections)   -3.27 eV per atom
Symmetry   P4/mmm



Record 5
CaPmHoSc after structural relaxation, computed with PBE. Values from VASP.

The structure in Quantum ESPRESSO input format:
```
&SYSTEM
  ibrav = 0, nat = 4, ntyp = 4
/
ATOMIC_SPECIES
Ca 40.08 Ca.upf
Pm 145.00 Pm.upf
Ho 164.93 Ho.upf
Sc 44.96 Sc.upf
ATOMIC_POSITIONS crystal
Ca 0.000 0.000 0.000
Pm 0.750 0.750 0.750
Ho 0.250 0.250 0.250
Sc 0.500 0.500 0.500
CELL_PARAMETERS angstrom
0.000 3.989 3.989
3.989 0.000 3.989
3.989 3.989 0.000
```

## Properties
Calculated volume   31.74 A^3/atom
Total DFT energy (no corrections)   -4.26 eV per atom
Symmetry   F-43m



Record 6
CeCdRuRh after structural relaxation, computed with PBE. Values from VASP.

The structure in Quantum ESPRESSO input format:
```
&SYSTEM
  ibrav = 0, nat = 4, ntyp = 4
/
ATOMIC_SPECIES
Ce 140.12 Ce.upf
Cd 112.41 Cd.upf
Ru 101.07 Ru.upf
Rh 102.91 Rh.upf
ATOMIC_POSITIONS crystal
Ce 0.000 0.000 0.000
Cd 0.500 0.500 0.500
Ru 0.750 0.750 0.750
Rh 0.250 0.250 0.250
CELL_PARAMETERS angstrom
0.000 3.337 3.337
3.337 0.000 3.337
3.337 3.337 0.000
```

## Properties
Calculated volume   18.58 A^3/atom
Total DFT energy (no corrections)   -6.18 eV per atom
Symmetry   F-43m